No. 1
First-principles (PBE) data for Zn2TeAs after structural relaxation, as listed in Alexandria.

Cell and atoms, written as POSCAR:
```
Zn2TeAs
1.0
2.978 0.000 0.000
0.000 2.978 0.000
0.000 0.000 9.901
As Zn Te
1 2 1
Direct
0.000 0.000 0.425
0.000 0.000 0.055
0.500 0.500 0.238
0.500 0.500 0.782
```

Computed properties:
For the uncorrected formation energy, the calculation gives 0.23 eV/atom. Its polymorph energy (0 for the lowest one) is 408 meV per atom. The spin magnetization is 0.00 μB/cell.

---

No. 2
First-principles (PBE) data for FeHRuW2 after structural relaxation, as listed in Alexandria.

Cell and atoms, written as POSCAR:
```
FeHRuW2
1.0
-1.732 -1.023 -3.391
3.262 -1.933 -1.083
-1.349 -3.203 1.656
W Ru Fe H
2 1 1 1
Direct
0.000 0.500 0.000
0.500 0.000 0.000
0.000 0.000 0.500
0.500 0.500 0.500
0.000 0.000 0.000
```

Computed properties:
Its polymorph energy (0 for the lowest one) is 51 meV per atom. The spin magnetization is 1.11 μB/cell.

---

No. 3
First-principles (PBE) data for SrBi3Pt3 after structural relaxation, as listed in Alexandria.

Cell and atoms, written as POSCAR:
```
SrBi3Pt3
1.0
4.737 0.000 0.000
0.000 8.267 -4.719
0.000 -0.046 9.519
Pt Bi Sr
6 6 2
Direct
0.250 0.055 0.605
0.750 0.450 0.055
0.750 0.945 0.395
0.750 0.605 0.550
0.250 0.550 0.945
0.250 0.395 0.450
0.250 0.259 0.951
0.250 0.049 0.309
0.750 0.741 0.049
0.750 0.951 0.691
0.250 0.691 0.741
0.750 0.309 0.259
0.750 0.333 0.667
0.250 0.667 0.333
```

Computed properties:
Its polymorph energy (0 for the lowest one) is 0 meV per atom. For the formation enthalpy at 0 K, the calculation gives -3.3 eV/f.u. The spin magnetization is 0.00 μB/cell.

---

No. 4
First-principles (PBE) data for BeTeI2N after structural relaxation, as listed in Alexandria.

Cell and atoms, written as POSCAR:
```
BeTeI2N
1.0
-5.181 4.314 -1.232
-2.298 -4.168 -4.932
-1.706 -1.468 2.036
N I Te Be
1 2 1 1
Direct
0.000 0.000 0.500
0.000 0.500 0.000
0.500 0.000 0.000
0.500 0.500 0.500
0.000 0.000 0.000
```

Computed properties:
For the uncorrected formation energy, the calculation gives 0.46 eV/atom. Its polymorph energy (0 for the lowest one) is 0 meV per atom. The spin magnetization is 1.17 μB/cell.